# 1
# GGA-PBEsol Mg2SeS, optimized geometry
data_Mg2SeS
_chemical_formula_sum 'Mg4 Se2 S2'
_space_group_name_H-M_alt 'P 1'
_space_group_IT_number 1
_cell_length_a 7.088
_cell_length_b 7.088
_cell_length_c 7.088
_cell_angle_alpha 131.70
_cell_angle_beta 131.70
_cell_angle_gamma 70.71
loop_
_space_group_symop_operation_xyz
'x,y,z'
loop_
_atom_site_label
_atom_site_type_symbol
_atom_site_fract_x
_atom_site_fract_y
_atom_site_fract_z
Mg1 Mg 0.109 0.625 0.984
Mg2 Mg 0.375 0.359 0.484
Mg3 Mg 0.641 0.125 0.016
Mg4 Mg 0.875 0.891 0.516
Se1 Se 0.250 0.750 0.500
Se2 Se 0.500 0.500 0.000
S1 S 0.000 0.000 0.000
S2 S 0.750 0.250 0.500
# uncorrected formation energy	-125.7	kJ per mole of atoms
# mass density	2726	kg/m³

=====

# 2
# GGA-PBEsol MgSeS2, optimized geometry
data_MgSeS2
_chemical_formula_sum 'Mg1 Se1 S2'
_space_group_name_H-M_alt 'P 1'
_space_group_IT_number 1
_cell_length_a 8.425
_cell_length_b 8.425
_cell_length_c 8.425
_cell_angle_alpha 24.17
_cell_angle_beta 24.17
_cell_angle_gamma 24.17
loop_
_space_group_symop_operation_xyz
'x,y,z'
loop_
_atom_site_label
_atom_site_type_symbol
_atom_site_fract_x
_atom_site_fract_y
_atom_site_fract_z
Mg1 Mg 0.000 0.000 0.000
Se1 Se 0.500 0.500 0.500
S1 S 0.104 0.104 0.104
S2 S 0.896 0.896 0.896
# uncorrected formation energy	15.7	kJ per mole of atoms
# mass density	3156	kg/m³

=====

# 3
# GGA-PBEsol MgSiS3, optimized geometry
data_MgSiS3
_chemical_formula_sum 'Mg1 Si1 S3'
_space_group_name_H-M_alt 'P 1'
_space_group_IT_number 1
_cell_length_a 4.503
_cell_length_b 4.503
_cell_length_c 4.503
_cell_angle_alpha 90.00
_cell_angle_beta 90.00
_cell_angle_gamma 90.00
loop_
_space_group_symop_operation_xyz
'x,y,z'
loop_
_atom_site_label
_atom_site_type_symbol
_atom_site_fract_x
_atom_site_fract_y
_atom_site_fract_z
Mg1 Mg 0.000 0.000 0.000
Si1 Si 0.500 0.500 0.500
S1 S 0.000 0.500 0.500
S2 S 0.500 0.000 0.500
S3 S 0.500 0.500 0.000
# uncorrected formation energy	-26.3	kJ per mole of atoms
# mass density	2703	kg/m³

=====

# 4
# GGA-PBEsol MgSiS2, optimized geometry
data_MgSiS2
_chemical_formula_sum 'Mg2 Si2 S4'
_space_group_name_H-M_alt 'P 1'
_space_group_IT_number 1
_cell_length_a 7.437
_cell_length_b 7.437
_cell_length_c 7.437
_cell_angle_alpha 138.45
_cell_angle_beta 138.45
_cell_angle_gamma 60.21
loop_
_space_group_symop_operation_xyz
'x,y,z'
loop_
_atom_site_label
_atom_site_type_symbol
_atom_site_fract_x
_atom_site_fract_y
_atom_site_fract_z
Mg1 Mg 0.000 0.000 0.000
Mg2 Mg 0.750 0.250 0.500
Si1 Si 0.250 0.750 0.500
Si2 Si 0.500 0.500 0.000
S1 S 0.135 0.625 0.010
S2 S 0.375 0.385 0.510
S3 S 0.615 0.125 0.990
S4 S 0.875 0.865 0.490
# uncorrected formation energy	-43.6	kJ per mole of atoms
# mass density	2161	kg/m³

=====

Q: Which of these has the lowest mass density?
A: MgSiS2

=====

Q: Which formula does entry 1 have?
A: Mg2SeS